Material: BaCo2Cu
Method: DFT, PBEsol
State: optimized geometry

Lattice parameters (Å, degrees): 4.089 4.089 3.949 90.00 90.00 90.00
Space group P4/mmm (No. 123)
Symmetry-distinct sites (fractional):
1 Ba 0.000 0.000 0.000 (multiplicity 1)
2 Co 0.000 0.500 0.500 (multiplicity 2)
3 Cu 0.500 0.500 0.000 (multiplicity 1)

Properties
E_tot: -4.49 eV per atom
Formation enthalpy at 0 K: 0.997 eV per atom